Record 1
Entry from Alexandria: crystalline ZrCdBi2 at its relaxed geometry (GGA-PBE).

Properties
**Symmetry**: R-3m
**Crystal system**: trigonal
**Energy of formation from the pure elements**: -0.079 eV/atom

a b c (Å): 3.3553 3.3553 12.0775
angles (deg): 82.02 82.02 60.00
With the nearest neighbours (Å) after each atom.
Fractional coordinates of all 4 atoms:
Cd1 0.0000 0.0000 0.0000  6 Cd 3.36, 2 Bi 3.43
Bi1 0.9042 0.9042 0.2874  3 Zr 3.19, 6 Bi 3.36, 1 Cd 3.43
Zr1 0.5000 0.5000 0.5000  6 Bi 3.19, 6 Zr 3.36
Bi2 0.0958 0.0958 0.7126  3 Zr 3.19, 6 Bi 3.36, 1 Cd 3.43


Record 2
Entry from Alexandria: crystalline Ca2MgCl at its relaxed geometry (GGA-PBE).

Properties
**Relative energy among the computed polymorphs**: 0.3695 eV per atom
**Symmetry**: I4/mmm
**Crystal system**: tetragonal
**Formation energy (no corrections)**: -0.440 eV per atom

a b c (Å): 5.9011 5.9011 5.9011
angles (deg): 128.00 128.00 76.62
With the nearest neighbours (Å) after each atom.
Fractional coordinates of all 4 atoms:
Ca1 0.0000 0.0000 0.0000  4 Mg 3.47, 4 Cl 3.47, 4 Ca 3.66
Cl1 0.2500 0.7500 0.5000  8 Ca 3.47, 4 Mg 3.66
Ca2 0.5000 0.5000 0.0000  4 Cl 3.47, 4 Mg 3.47, 4 Ca 3.66
Mg1 0.7500 0.2500 0.5000  8 Ca 3.47, 4 Cl 3.66


Record 3
Entry from Alexandria: crystalline IrOsCl2 at its relaxed geometry (GGA-PBE).

Properties
**Relative energy among the computed polymorphs**: 0.9100 eV per atom
**Symmetry**: Pmmm
**Crystal system**: orthorhombic
**Formation energy (no corrections)**: 1.039 eV per atom

a b c (Å): 2.8162 5.2675 4.2181
angles (deg): 90.00 90.00 90.00
With the nearest neighbours (Å) after each atom.
Fractional coordinates of all 4 atoms:
Cl1 0.5000 0.5000 0.0000  4 Os 2.54, 2 Cl 2.82
Cl2 0.0000 0.0000 0.0000  4 Ir 2.54, 2 Cl 2.82
Ir1 0.5000 0.0000 0.5000  4 Cl 2.54, 2 Ir 2.82
Os1 0.0000 0.5000 0.5000  4 Cl 2.54, 2 Os 2.82


| no. | D(E_F) (states/eV per cell) | magnetization (μB per cell) | volume (Å³/atom) |
| --- | --- | --- | --- |
| 1 | 2.210 | 0.0 | 29.06 |
| 2 | 3.785 | 0.0 | 30.98 |
| 3 | 3.944 | 0.0 | 15.64 |